[1]
Here is crystalline TbTiHgPb at its relaxed geometry from Alexandria via LeMat-Bulk. Energies are from PBE.

Summary:
- Crystal system: cubic
- Formation enthalpy at 0 K: -0.137 eV per atom

Structure (CIF):
```
data_TbTiHgPb
_chemical_formula_sum 'Tb1 Ti1 Hg1 Pb1'
_symmetry_space_group_name_H-M 'P 1'
_symmetry_Int_Tables_number 1
_cell_length_a 5.136
_cell_length_b 5.136
_cell_length_c 5.136
_cell_angle_alpha 60.00
_cell_angle_beta 60.00
_cell_angle_gamma 60.00
loop_
_symmetry_equiv_pos_as_xyz
'x,y,z'
loop_
_atom_site_label
_atom_site_fract_x
_atom_site_fract_y
_atom_site_fract_z
Tb1 0.000 0.000 0.000
Ti1 0.500 0.500 0.500
Hg1 0.250 0.250 0.250
Pb1 0.750 0.750 0.750
```



[2]
Here is crystalline YEr2Cd at its relaxed geometry from Alexandria via LeMat-Bulk. Energies are from PBE.

Summary:
- Crystal system: orthorhombic
- Offset from the most stable computed form: 0.000 eV per atom
- Formation enthalpy at 0 K: -0.159 eV per atom

Structure (CIF):
```
data_YEr2Cd
_chemical_formula_sum 'Y1 Er2 Cd1'
_symmetry_space_group_name_H-M 'P 1'
_symmetry_Int_Tables_number 1
_cell_length_a 6.558
_cell_length_b 6.558
_cell_length_c 6.558
_cell_angle_alpha 146.63
_cell_angle_beta 131.85
_cell_angle_gamma 59.85
loop_
_symmetry_equiv_pos_as_xyz
'x,y,z'
loop_
_atom_site_label
_atom_site_fract_x
_atom_site_fract_y
_atom_site_fract_z
Y1 0.000 0.000 0.000
Er1 0.277 0.777 0.500
Er2 0.723 0.223 0.500
Cd1 0.500 0.500 0.000
```



[3]
Here is crystalline Na2In2RuO6 at its relaxed geometry from Alexandria via LeMat-Bulk. Energies are from PBE.

Summary:
- Total DFT energy (no corrections): -5.68 eV/atom
- Crystal system: monoclinic

Structure (CIF):
```
data_Na2In2RuO6
_chemical_formula_sum 'Na2 In2 Ru1 O6'
_symmetry_space_group_name_H-M 'P 1'
_symmetry_Int_Tables_number 1
_cell_length_a 5.576
_cell_length_b 5.576
_cell_length_c 5.825
_cell_angle_alpha 98.77
_cell_angle_beta 98.77
_cell_angle_gamma 119.13
loop_
_symmetry_equiv_pos_as_xyz
'x,y,z'
loop_
_atom_site_label
_atom_site_fract_x
_atom_site_fract_y
_atom_site_fract_z
Na1 0.162 0.838 0.000
Na2 0.838 0.162 0.000
In1 0.336 0.664 0.500
In2 0.664 0.336 0.500
Ru1 0.000 0.000 0.500
O1 0.055 0.370 0.697
O2 0.242 0.242 0.304
O3 0.370 0.055 0.697
O4 0.630 0.945 0.303
O5 0.758 0.758 0.696
O6 0.945 0.630 0.303
```



[4]
Here is crystalline In2Ru at its relaxed geometry from Alexandria via LeMat-Bulk. Energies are from PBE.

Summary:
- Crystal system: tetragonal
- Formation enthalpy at 0 K: 0.214 eV per atom

Structure (CIF):
```
data_In2Ru
_chemical_formula_sum 'In4 Ru2'
_symmetry_space_group_name_H-M 'P 1'
_symmetry_Int_Tables_number 1
_cell_length_a 6.934
_cell_length_b 6.934
_cell_length_c 3.057
_cell_angle_alpha 90.00
_cell_angle_beta 90.00
_cell_angle_gamma 90.00
loop_
_symmetry_equiv_pos_as_xyz
'x,y,z'
loop_
_atom_site_label
_atom_site_fract_x
_atom_site_fract_y
_atom_site_fract_z
In1 0.228 0.228 0.000
In2 0.272 0.728 0.500
In3 0.728 0.272 0.500
In4 0.772 0.772 0.000
Ru1 0.000 0.000 0.500
Ru2 0.500 0.500 0.000
```